Record 1
Entry from Alexandria: a geometry-optimized PmPrTh structure (PBE).

Results
M_tot: 0.00 μB per formula unit
raw total energy: -5.514 eV per atom
DOS at the Fermi energy: 5.53 states/eV/cell

a = 5.8052 Å, b = 5.8052 Å, c = 3.5284 Å
α = 90.00°, β = 90.00°, γ = 120.00°
Closest atoms and distances in Å follow each position.
Space group P-6m2 (No. 187)
Asymmetric unit:
Pm 0.0000 0.0000 0.0000 [1 per cell]  3 Th 3.35, 2 Pm 3.53
Pr 0.6667 0.3333 0.5000 [1 per cell]  2 Pr 3.53, 6 Pm 3.79, 6 Th 3.79
Th 0.3333 0.6667 0.0000 [1 per cell]  3 Pm 3.35, 2 Th 3.53



Record 2
Entry from Alexandria: a geometry-optimized Pm5PrTh structure (PBE).

Results
M_tot: 0.00 μB per formula unit
raw total energy: -4.933 eV per atom
DOS at the Fermi energy: 45.09 states/eV/cell

a = 11.3880 Å, b = 6.6436 Å, c = 12.9225 Å
α = 90.00°, β = 95.34°, γ = 90.00°
Closest atoms and distances in Å follow each position.
Space group C2/c (No. 15)
Asymmetric unit:
Pm 0.0000 0.2423 0.2500 [4 per cell]  2 Pr 3.17-3.47, 4 Pm 3.36-3.48
Pm 0.1678 0.0022 0.0550 [8 per cell]  4 Pm 3.34-3.73, 1 Pr 3.66
Pm 0.2327 0.4968 0.6799 [8 per cell]  5 Pm 3.34-3.73, 1 Th 3.36, 2 Pr 3.36-3.48
Pr 0.0000 0.2355 0.7500 [4 per cell]  6 Pm 3.17-3.48
Th 0.0000 0.5000 0.0000 [4 per cell]  4 Pm 3.36-3.66, 2 Pr 3.68